Entry 1:
DFT (PBE) results for a relaxed RbZn2GaF8 crystal.

POSCAR file:
```
RbZn2GaF8
1.0
-3.237 -3.657 1.713
1.880 -1.470 4.601
-4.286 3.537 4.963
Rb Zn Ga F
1 2 1 8
Cartesian
-2.143 1.769 2.481
-3.729 0.268 6.446
-1.914 -1.857 4.830
0.000 0.000 0.000
-0.038 -1.150 4.757
-1.234 -3.714 5.063
-2.889 -2.400 3.161
-5.606 -0.439 6.518
-4.410 2.125 6.213
-2.754 0.810 8.115
-2.945 -1.637 6.556
-2.698 0.048 4.719
```

Properties
Final energy: -0.1568 hartree per atom
Theoretical density: 3.972 Mg/m³
Crystal system: triclinic

***

Entry 2:
DFT (PBE) results for a relaxed Rb2ZnGaF6 crystal.

POSCAR file:
```
Rb2ZnGaF6
1.0
-0.387 -5.574 2.266
5.444 0.643 2.512
0.712 -0.902 5.925
Zn Ga Rb F
1 1 2 6
Cartesian
2.528 -2.466 2.389
0.000 0.000 0.000
1.427 -4.471 5.290
4.342 -1.362 5.413
1.628 -1.690 4.142
4.141 -4.143 6.560
1.276 -1.244 1.205
3.781 -3.687 3.572
1.084 -4.006 2.328
3.973 -0.926 2.450
```

Properties
Final energy: -0.1541 hartree per atom
Theoretical density: 4.491 Mg/m³
Crystal system: tetragonal